one | TePCl2O: relaxed, GGA-PBE.

Unit cell a=5.2356 b=5.2356 c=5.5273 alpha=90.00 beta=90.00 gamma=90.00
Closest atoms and distances in Å follow each position.
Atoms (fractional coordinates):
Te 0.0000 0.0000 0.0000  4 Cl 2.62, 2 P 2.76
P 0.0000 0.0000 0.5000  2 Te 2.76
Cl 0.0000 0.5000 0.0000  2 Te 2.62
Cl 0.5000 0.0000 0.0000  2 Te 2.62
O 0.5000 0.5000 0.5000  4 P 3.70, 8 Cl 3.81

Values from the calculation:
SG: P4/mmm

=====

two | TePCl2O: relaxed, GGA-PBE.

Unit cell a=4.5441 b=4.5441 c=4.4231 alpha=90.00 beta=90.00 gamma=90.00
Closest atoms and distances in Å follow each position.
Atoms (fractional coordinates):
Te 0.0000 0.0000 0.0000  8 Cl 3.17, 4 P 3.21
P 0.5000 0.5000 0.0000  2 O 2.21
Cl 0.0000 0.5000 0.5000  2 O 2.27
Cl 0.5000 0.0000 0.5000  2 O 2.27
O 0.5000 0.5000 0.5000  2 P 2.21, 4 Cl 2.27

Values from the calculation:
SG: P4/mmm

=====

two is favored, and the nearest alternative lies 199 meV/atom above it.

=====

one | TeP2ClO: relaxed, GGA-PBE.

Unit cell a=4.3603 b=4.3603 c=4.4995 alpha=90.00 beta=90.00 gamma=90.00
Closest atoms and distances in Å follow each position.
Atoms (fractional coordinates):
Te 0.0000 0.0000 0.0000  4 Cl 3.08, 8 P 3.13
P 0.0000 0.5000 0.5000  2 O 2.18
P 0.5000 0.0000 0.5000  2 O 2.18
Cl 0.5000 0.5000 0.0000  2 O 2.25
O 0.5000 0.5000 0.5000  4 P 2.18, 2 Cl 2.25

Values from the calculation:
SG: P4/mmm

=====

two | TeP2ClO: relaxed, GGA-PBE.

Unit cell a=5.1884 b=5.1884 c=5.2001 alpha=90.00 beta=90.00 gamma=90.00
Closest atoms and distances in Å follow each position.
Atoms (fractional coordinates):
Te 0.0000 0.0000 0.0000  4 P 2.59, 2 Cl 2.60
P 0.0000 0.5000 0.0000  2 Te 2.59
P 0.5000 0.0000 0.0000  2 Te 2.59
Cl 0.0000 0.0000 0.5000  2 Te 2.60
O 0.5000 0.5000 0.5000  4 Cl 3.67, 8 P 3.67

Values from the calculation:
SG: P4/mmm

=====

one is favored, and the nearest alternative lies 814 meV/atom above it.

=====

one | TiPCl2O: relaxed, GGA-PBE.

Unit cell a=5.3796 b=5.3796 c=3.2964 alpha=90.00 beta=90.00 gamma=90.00
Closest atoms and distances in Å follow each position.
Atoms (fractional coordinates):
Ti 0.0000 0.0000 0.0000  8 Cl 3.15, 2 Ti 3.30
P 0.5000 0.5000 0.0000  2 O 1.65
Cl 0.0000 0.5000 0.5000  2 O 2.69
Cl 0.5000 0.0000 0.5000  2 O 2.69
O 0.5000 0.5000 0.5000  2 P 1.65

Values from the calculation:
SG: P4/mmm

=====

two | TiPCl2O: relaxed, GGA-PBE.

Unit cell a=4.5470 b=4.5470 c=5.0286 alpha=90.00 beta=90.00 gamma=90.00
Closest atoms and distances in Å follow each position.
Atoms (fractional coordinates):
Ti 0.0000 0.0000 0.0000  4 Cl 2.27, 2 P 2.51
P 0.0000 0.0000 0.5000  2 Ti 2.51
Cl 0.0000 0.5000 0.0000  2 Ti 2.27
Cl 0.5000 0.0000 0.0000  2 Ti 2.27
O 0.5000 0.5000 0.5000  4 P 3.22, 8 Cl 3.39

Values from the calculation:
SG: P4/mmm

=====

two is favored, and the nearest alternative lies 18 meV/atom above it.

=====

one | TlPCl2O: relaxed, GGA-PBE.

Unit cell a=5.3106 b=5.3106 c=5.4784 alpha=90.00 beta=90.00 gamma=90.00
Closest atoms and distances in Å follow each position.
Atoms (fractional coordinates):
Tl 0.0000 0.0000 0.0000  4 Cl 2.66, 2 P 2.74
P 0.0000 0.0000 0.5000  2 Tl 2.74
Cl 0.0000 0.5000 0.0000  2 Tl 2.66
Cl 0.5000 0.0000 0.0000  2 Tl 2.66
O 0.5000 0.5000 0.5000  4 P 3.76, 8 Cl 3.81

Values from the calculation:
SG: P4/mmm

=====

two | TlPCl2O: relaxed, GGA-PBE.

Unit cell a=5.9860 b=5.9860 c=3.3656 alpha=90.00 beta=90.00 gamma=90.00
Closest atoms and distances in Å follow each position.
Atoms (fractional coordinates):
Tl 0.0000 0.0000 0.0000  2 Tl 3.37, 8 Cl 3.43
P 0.5000 0.5000 0.0000  2 O 1.68
Cl 0.0000 0.5000 0.5000  2 O 2.99
Cl 0.5000 0.0000 0.5000  2 O 2.99
O 0.5000 0.5000 0.5000  2 P 1.68

Values from the calculation:
SG: P4/mmm

=====

two is favored, and the nearest alternative lies 1040 meV/atom above it.